[1]
Compound: Fe3ReRh
Source: Alexandria via LeMat-Bulk
Functional: GGA-PBEsol
Structure: relaxed

Cell lengths 4.339, 4.339, 4.339 Å; angles 90.00, 90.00, 90.00 degrees
Site moments in Bohr magnetons follow the coordinates.
Element x y z (fractional)
Re 0.000 0.000 0.000  -0.30
Fe 0.000 0.500 0.000  1.74
Fe 0.000 0.000 0.500  1.74
Fe 0.500 0.000 0.000  1.74
Rh 0.500 0.500 0.500  0.63

formation energy from the elements	1.71	eV per atom
crystal system	cubic

***

[2]
Compound: Al2AgPt2
Source: Alexandria via LeMat-Bulk
Functional: GGA-PBEsol
Structure: relaxed

Cell lengths 3.901, 3.901, 6.205 Å; angles 108.32, 108.32, 90.00 degrees
Element x y z (fractional)
Al 0.613 0.613 0.226
Al 0.387 0.387 0.774
Pt 0.250 0.750 0.500
Pt 0.750 0.250 0.500
Ag 0.000 0.000 0.000

energy above the most stable polymorph in this dataset	382.6	meV/atom
formation energy from the elements	-0.40	eV per atom
crystal system	tetragonal

***

[3]
Compound: Sb3Cl
Source: Alexandria via LeMat-Bulk
Functional: GGA-PBEsol
Structure: relaxed

Cell lengths 4.165, 4.311, 6.468 Å; angles 90.00, 90.00, 90.00 degrees
Element x y z (fractional)
Sb 0.000 0.500 0.446
Sb 0.500 0.000 0.456
Sb 0.500 0.500 0.794
Cl 0.000 0.000 0.971

raw formation energy	-0.178	eV per formula unit
crystal system	orthorhombic

***

[4]
Compound: Y2B2W
Source: Alexandria via LeMat-Bulk
Functional: GGA-PBEsol
Structure: relaxed

Cell lengths 4.432, 4.432, 5.315 Å; angles 114.64, 114.64, 90.00 degrees
Element x y z (fractional)
Y 0.650 0.650 0.300
Y 0.350 0.350 0.700
B 0.250 0.750 0.500
B 0.750 0.250 0.500
W 0.000 0.000 0.000

formation energy from the elements	1.25	eV per atom
crystal system	tetragonal

***

[5]
Compound: La2Ni
Source: Alexandria via LeMat-Bulk
Functional: GGA-PBEsol
Structure: relaxed

Cell lengths 4.348, 5.626, 7.052 Å; angles 113.51, 90.00, 90.00 degrees
Element x y z (fractional)
Ni 0.750 0.850 0.000
Ni 0.250 0.150 0.000
La 0.750 0.141 0.741
La 0.250 0.600 0.741
La 0.250 0.859 0.259
La 0.750 0.400 0.259

formation energy from the elements	-0.15	eV per atom
crystal system	orthorhombic

***

[6]
Compound: Te2AsRu
Source: Alexandria via LeMat-Bulk
Functional: GGA-PBEsol
Structure: relaxed

Cell lengths 4.808, 4.808, 4.808 Å; angles 107.50, 110.47, 110.47 degrees
Element x y z (fractional)
Ru 0.000 0.500 0.500
Te 0.500 0.000 0.500
Te 0.500 0.500 0.000
As 0.000 0.000 0.000

raw formation energy	1.417	eV per formula unit
crystal system	tetragonal

***

[7]
Compound: InP2Au
Source: Alexandria via LeMat-Bulk
Functional: GGA-PBEsol
Structure: relaxed

Cell lengths 3.257, 4.740, 5.725 Å; angles 110.12, 106.53, 90.00 degrees
Element x y z (fractional)
Au 0.000 0.000 0.000
In 0.500 0.500 0.000
P 0.234 0.142 0.468
P 0.766 0.858 0.532

formation energy from the elements	-0.14	eV per atom
crystal system	monoclinic

***

[8]
Compound: Ag4Pt3
Source: Alexandria via LeMat-Bulk
Functional: GGA-PBEsol
Structure: relaxed

Cell lengths 2.783, 6.326, 6.870 Å; angles 110.64, 90.00, 102.71 degrees
Element x y z (fractional)
Ag 0.215 0.431 0.647
Ag 0.785 0.569 0.353
Ag 0.359 0.717 0.064
Ag 0.641 0.283 0.936
Pt 0.931 0.863 0.776
Pt 0.500 0.000 0.500
Pt 0.069 0.137 0.224

energy above the most stable polymorph in this dataset	0.0	meV/atom
formation energy from the elements	-0.01	eV per atom
crystal system	monoclinic

***

[9]
Compound: ReAgHg2
Source: Alexandria via LeMat-Bulk
Functional: GGA-PBEsol
Structure: relaxed

Cell lengths 2.912, 2.912, 9.655 Å; angles 81.33, 81.33, 60.00 degrees
Element x y z (fractional)
Re 0.500 0.500 0.500
Hg 0.751 0.751 0.748
Hg 0.249 0.249 0.252
Ag 0.000 0.000 0.000

energy above the most stable polymorph in this dataset	0.0	meV/atom
formation energy from the elements	0.48	eV per atom
crystal system	trigonal

***

[10]
Compound: Ta2CoAs
Source: Alexandria via LeMat-Bulk
Functional: GGA-PBEsol
Structure: relaxed

Cell lengths 3.329, 3.620, 5.220 Å; angles 90.00, 108.59, 90.00 degrees
Element x y z (fractional)
Co 0.675 0.500 0.351
Ta 0.090 0.000 0.181
Ta 0.415 0.500 0.830
As 0.818 0.000 0.636

formation energy from the elements	-0.36	eV per atom
crystal system	orthorhombic

***

[11]
Compound: MnRePb2Cl
Source: Alexandria via LeMat-Bulk
Functional: GGA-PBEsol
Structure: relaxed

Cell lengths 4.092, 5.358, 5.358 Å; angles 90.00, 90.00, 90.00 degrees
Site moments in Bohr magnetons follow the coordinates.
Element x y z (fractional)
Re 0.500 0.500 0.500  2.32
Cl 0.000 0.000 0.000  0.02
Pb 0.000 0.500 0.000  -0.07
Pb 0.000 0.000 0.500  -0.07
Mn 0.500 0.000 0.000  3.19

raw formation energy	7.279	eV per formula unit
crystal system	tetragonal

***

[12]
Compound: KMgSc2
Source: Alexandria via LeMat-Bulk
Functional: GGA-PBEsol
Structure: relaxed

Cell lengths 3.331, 3.331, 12.031 Å; angles 82.04, 82.04, 60.00 degrees
Element x y z (fractional)
Sc 0.263 0.263 0.210
Sc 0.737 0.737 0.790
Mg 0.000 0.000 0.000
K 0.500 0.500 0.500

formation energy from the elements	0.36	eV per atom
crystal system	trigonal

***

[13]
Compound: Ti2BiBRu
Source: Alexandria via LeMat-Bulk
Functional: GGA-PBEsol
Structure: relaxed

Cell lengths 4.129, 4.129, 4.764 Å; angles 90.00, 90.00, 90.00 degrees
Element x y z (fractional)
Ti 0.500 0.000 0.000
Ti 0.000 0.500 0.000
B 0.000 0.000 0.000
Ru 0.500 0.500 0.500
Bi 0.000 0.000 0.500

formation energy from the elements	0.39	eV per atom
crystal system	tetragonal

***

[14]
Compound: BaTcF3
Source: Alexandria via LeMat-Bulk
Functional: GGA-PBEsol
Structure: relaxed

Cell lengths 4.261, 4.261, 4.261 Å; angles 90.00, 90.00, 90.00 degrees
Element x y z (fractional)
F 0.000 0.000 0.500
F 0.500 0.000 0.000
F 0.000 0.500 0.000
Ba 0.500 0.500 0.500
Tc 0.000 0.000 0.000

raw formation energy	-8.676	eV per formula unit
crystal system	cubic

***

[15]
Compound: ZrSc5
Source: Alexandria via LeMat-Bulk
Functional: GGA-PBEsol
Structure: relaxed

Cell lengths 3.244, 6.029, 7.567 Å; angles 102.21, 90.00, 105.61 degrees
Element x y z (fractional)
Sc 0.667 0.334 0.329
Sc 0.061 0.121 0.616
Sc 0.332 0.664 0.669
Sc 0.386 0.772 0.276
Sc 0.001 0.001 0.001
Zr 0.720 0.440 0.942

energy above the most stable polymorph in this dataset	0.0	meV/atom
formation energy from the elements	-0.01	eV per atom
crystal system	monoclinic

***

[16]
Compound: FeNi2Ir
Source: Alexandria via LeMat-Bulk
Functional: GGA-PBEsol
Structure: relaxed

Cell lengths 2.555, 3.616, 5.053 Å; angles 90.00, 90.00, 90.00 degrees
Site moments in Bohr magnetons follow the coordinates.
Element x y z (fractional)
Ir 0.500 0.500 0.500  0.26
Ni 0.000 0.000 0.754  0.50
Ni 0.000 0.000 0.246  0.50
Fe 0.500 0.500 0.000  2.71

formation energy from the elements	0.03	eV per atom
crystal system	orthorhombic

***

[17]
Compound: AsOsAu
Source: Alexandria via LeMat-Bulk
Functional: GGA-PBEsol
Structure: relaxed

Cell lengths 4.152, 4.152, 4.152 Å; angles 60.00, 60.00, 60.00 degrees
Element x y z (fractional)
As 0.250 0.250 0.250
Au 0.000 0.000 0.000
Os 0.500 0.500 0.500

formation energy from the elements	0.61	eV per atom
crystal system	cubic

***

[18]
Compound: TaPBr2
Source: Alexandria via LeMat-Bulk
Functional: GGA-PBEsol
Structure: relaxed

Cell lengths 4.750, 7.000, 7.000 Å; angles 83.39, 70.16, 70.16 degrees
Site moments in Bohr magnetons follow the coordinates.
Element x y z (fractional)
Ta 0.000 0.000 0.000  0.10
Ta 0.750 0.500 0.500  0.10
Br 0.987 0.138 0.638  0.00
Br 0.875 0.362 0.138  0.00
Br 0.763 0.862 0.362  0.00
Br 0.375 0.638 0.862  0.00
P 0.500 0.000 0.000  -0.01
P 0.250 0.500 0.500  -0.01

energy above the most stable polymorph in this dataset	235.1	meV/atom
raw formation energy	-0.107	eV per formula unit
crystal system	tetragonal

***

[19]
Compound: MnSnRu3
Source: Alexandria via LeMat-Bulk
Functional: GGA-PBEsol
Structure: relaxed

Cell lengths 4.363, 4.363, 4.363 Å; angles 90.00, 90.00, 90.00 degrees
Element x y z (fractional)
Ru 0.000 0.500 0.000
Ru 0.000 0.000 0.500
Ru 0.500 0.000 0.000
Mn 0.000 0.000 0.000
Sn 0.500 0.500 0.500

formation energy from the elements	1.07	eV per atom
crystal system	cubic

***

[20]
Compound: MnO
Source: Alexandria via LeMat-Bulk
Functional: GGA-PBEsol
Structure: relaxed

Cell lengths 3.341, 3.341, 3.341 Å; angles 60.00, 60.00, 60.00 degrees
Site moments in Bohr magnetons follow the coordinates.
Element x y z (fractional)
Mn 0.250 0.250 0.250  4.35
O 0.000 0.000 0.000  0.19

raw formation energy	-2.118	eV per formula unit
crystal system	cubic

***

[21]
Compound: InAgCl2
Source: Alexandria via LeMat-Bulk
Functional: GGA-PBEsol
Structure: relaxed

Cell lengths 3.519, 3.519, 8.976 Å; angles 78.70, 78.70, 60.00 degrees
Element x y z (fractional)
In 0.000 0.000 0.000
Cl 0.102 0.102 0.695
Cl 0.898 0.898 0.305
Ag 0.500 0.500 0.500

raw formation energy	-1.523	eV per formula unit
crystal system	trigonal

***

[22]
Compound: ZrCuSe4
Source: Alexandria via LeMat-Bulk
Functional: GGA-PBEsol
Structure: relaxed

Cell lengths 5.487, 5.487, 5.487 Å; angles 60.00, 60.00, 60.00 degrees
Element x y z (fractional)
Se 0.375 0.876 0.375
Se 0.876 0.375 0.375
Se 0.375 0.375 0.375
Se 0.375 0.375 0.876
Cu 0.000 0.000 0.000
Zr 0.750 0.750 0.750

raw formation energy	2.724	eV per formula unit
crystal system	cubic

***

[23]
Compound: CaHg2MoOs
Source: Alexandria via LeMat-Bulk
Functional: GGA-PBEsol
Structure: relaxed

Cell lengths 4.593, 5.050, 5.050 Å; angles 90.00, 90.00, 90.00 degrees
Site moments in Bohr magnetons follow the coordinates.
Element x y z (fractional)
Hg 0.000 0.500 0.000  0.00
Hg 0.000 0.000 0.500  0.00
Mo 0.500 0.000 0.000  0.43
Os 0.500 0.500 0.500  2.18
Ca 0.000 0.000 0.000  0.01

formation energy from the elements	2.56	eV per atom
crystal system	tetragonal

***

[24]
Compound: BePt2Rh
Source: Alexandria via LeMat-Bulk
Functional: GGA-PBEsol
Structure: relaxed

Cell lengths 2.740, 4.244, 5.100 Å; angles 114.59, 105.59, 90.00 degrees
Element x y z (fractional)
Pt 0.958 0.458 0.916
Pt 0.750 0.750 0.500
Be 0.249 0.249 0.498
Rh 0.543 0.043 0.086

formation energy from the elements	-0.30	eV per atom
crystal system	orthorhombic

***

[25]
Compound: CdP2C
Source: Alexandria via LeMat-Bulk
Functional: GGA-PBEsol
Structure: relaxed

Cell lengths 4.370, 4.370, 4.370 Å; angles 60.00, 60.00, 60.00 degrees
Element x y z (fractional)
C 0.000 0.000 0.000
Cd 0.500 0.500 0.500
P 0.250 0.250 0.250
P 0.750 0.750 0.750

formation energy from the elements	1.70	eV per atom
crystal system	cubic

***

[26]
Compound: CuTc
Source: Alexandria via LeMat-Bulk
Functional: GGA-PBEsol
Structure: relaxed

Cell lengths 2.550, 4.520, 4.662 Å; angles 96.99, 90.00, 106.39 degrees
Element x y z (fractional)
Tc 0.620 0.240 0.891
Tc 0.380 0.760 0.109
Cu 0.873 0.746 0.603
Cu 0.127 0.254 0.397

energy above the most stable polymorph in this dataset	105.2	meV/atom
formation energy from the elements	0.21	eV per atom
crystal system	monoclinic

***

[27]
Compound: RePCl4
Source: Alexandria via LeMat-Bulk
Functional: GGA-PBEsol
Structure: relaxed

Cell lengths 5.465, 5.465, 5.465 Å; angles 60.00, 60.00, 60.00 degrees
Site moments in Bohr magnetons follow the coordinates.
Element x y z (fractional)
Cl 0.374 0.374 0.878  0.12
Cl 0.374 0.374 0.374  0.12
Cl 0.878 0.374 0.374  0.12
Cl 0.374 0.878 0.374  0.12
Re 0.000 0.000 0.000  -3.37
P 0.750 0.750 0.750  0.54

raw formation energy	9.968	eV per formula unit
crystal system	cubic

***

[28]
Compound: CaCd2Rh2
Source: Alexandria via LeMat-Bulk
Functional: GGA-PBEsol
Structure: relaxed

Cell lengths 4.215, 4.215, 6.460 Å; angles 109.04, 109.04, 90.00 degrees
Element x y z (fractional)
Rh 0.605 0.605 0.210
Rh 0.395 0.395 0.790
Cd 0.750 0.250 0.500
Cd 0.250 0.750 0.500
Ca 0.000 0.000 0.000

energy above the most stable polymorph in this dataset	105.8	meV/atom
formation energy from the elements	-0.09	eV per atom
crystal system	tetragonal

***

[29]
Compound: CdInP2
Source: Alexandria via LeMat-Bulk
Functional: GGA-PBEsol
Structure: relaxed

Cell lengths 3.620, 3.616, 6.459 Å; angles 90.00, 90.00, 90.00 degrees
Element x y z (fractional)
In 0.500 0.500 0.500
Cd 0.500 0.500 0.000
P 0.000 0.000 0.828
P 0.000 0.000 0.172

formation energy from the elements	0.28	eV per atom
crystal system	tetragonal

***

Going through the records in order, we get total magnetic moment values of 5.56 0.00 0.00 0.00 0.00 0.00 0.00 0.00 0.00 0.00 5.67 0.11 0.00 0.00 0.00 3.92 0.00 0.10 0.00 4.91 0.00 0.00 2.83 0.00 0.00 0.00 2.22 0.00 0.00 μB per formula unit.